# 1
VASP calculation (PBE) on a geometry-optimized AcSm2Dy2Er2 structure.

Values from the calculation:
DFT total energy, eV/atom: -4.5116
ΔH_f (0 K), meV/atom: 42.2

Cell: 5.1344 6.2525 8.1177 Å, 97.55 90.00 114.24°
Sites, in units of the cell vectors:
Ac: 0.0000 0.0000 0.0000
Sm: 0.5742 0.1483 0.7094
Sm: 0.4258 0.8517 0.2906
Dy: 0.7146 0.4293 0.1509
Dy: 0.2854 0.5707 0.8491
Er: 0.1430 0.2859 0.4342
Er: 0.8570 0.7141 0.5658

# 2
VASP calculation (PBE) on a geometry-optimized SiPb structure.

Values from the calculation:
Formation energy from raw total energies, eV per atom: 0.66
DFT total energy, eV/atom: -3.9016

Cell: 8.6145 8.6145 8.6145 Å, 90.00 90.00 90.00°
Sites, in units of the cell vectors:
Si: 0.1568 0.1568 0.1568
Si: 0.1568 0.8432 0.8432
Si: 0.8432 0.1568 0.8432
Si: 0.8432 0.8432 0.1568
Si: 0.6568 0.6568 0.6568
Si: 0.6568 0.3432 0.3432
Si: 0.3432 0.6568 0.3432
Si: 0.3432 0.3432 0.6568
Pb: 0.3370 0.3370 0.3370
Pb: 0.3370 0.6630 0.6630
Pb: 0.6630 0.3370 0.6630
Pb: 0.6630 0.6630 0.3370
Pb: 0.8370 0.8370 0.8370
Pb: 0.8370 0.1630 0.1630
Pb: 0.1630 0.8370 0.1630
Pb: 0.1630 0.1630 0.8370

# 3
VASP calculation (PBE) on a geometry-optimized Hg2SbPt structure.

Values from the calculation:
Formation energy from raw total energies, eV per atom: 0.22
DFT total energy, eV/atom: -2.4716

Cell: 3.1696 4.5171 6.0147 Å, 90.00 90.00 90.00°
Sites, in units of the cell vectors:
Hg: 0.0000 0.0000 0.0161
Hg: 0.0000 0.0000 0.4839
Pt: 0.5000 0.5000 0.2500
Sb: 0.5000 0.5000 0.7500

# 4
VASP calculation (PBE) on a geometry-optimized IrPbBrCl2 structure.

Values from the calculation:
Formation energy from raw total energies, eV per atom: 0.65
DFT total energy, eV/atom: -2.9351

Cell: 5.2760 5.5401 5.2760 Å, 90.00 90.00 90.00°
Sites, in units of the cell vectors:
Pb: 0.0000 0.0000 0.0000
Ir: 0.0000 0.5000 0.0000
Br: 0.5000 0.5000 0.5000
Cl: 0.0000 0.0000 0.5000
Cl: 0.5000 0.0000 0.0000

# 5
VASP calculation (PBE) on a geometry-optimized LaCu2Re structure.

Values from the calculation:
Energy above the most stable polymorph in this dataset, eV/atom: 0.001
DFT total energy, eV/atom: -6.0221
ΔH_f (0 K), meV/atom: 369.9

Cell: 4.2832 2.8064 6.0680 Å, 76.20 90.00 90.00°
Sites, in units of the cell vectors:
Cu: 0.0000 0.2059 0.9745
Cu: 0.5000 0.0818 0.2061
La: 0.0000 0.4395 0.4854
Re: 0.5000 0.7728 0.8339

# 6
VASP calculation (PBE) on a geometry-optimized Mg2Sn2Hg7 structure.

Values from the calculation:
DFT total energy, eV/atom: -1.2528
ΔH_f (0 K), meV/atom: -43.0

Cell: 5.9847 5.8264 8.4129 Å, 103.58 92.99 97.74°
Sites, in units of the cell vectors:
Mg: 0.6174 0.6125 0.8388
Mg: 0.3826 0.3875 0.1612
Sn: 0.4085 0.7442 0.5198
Sn: 0.5915 0.2558 0.4802
Hg: 0.9063 0.5662 0.1910
Hg: 0.5180 0.1196 0.8477
Hg: 0.0937 0.4338 0.8090
Hg: 0.4820 0.8804 0.1523
Hg: 0.0000 0.0000 0.0000
Hg: 0.9353 0.8066 0.5982
Hg: 0.0647 0.1934 0.4018

# 7
VASP calculation (PBE) on a geometry-optimized CsRb2HfF6 structure.

Values from the calculation:
Formation energy from raw total energies, eV per atom: -3.08
Energy above the most stable polymorph in this dataset, eV/atom: 0.000
DFT total energy, eV/atom: -5.4776

Cell: 6.4948 8.4780 9.5145 Å, 90.00 90.00 90.00°
Sites, in units of the cell vectors:
Cs: 0.0000 0.6394 0.5000
Cs: 0.5000 0.3606 0.0000
Rb: 0.5000 0.8341 0.2262
Rb: 0.0000 0.1659 0.7262
Rb: 0.5000 0.8341 0.7738
Rb: 0.0000 0.1659 0.2738
Hf: 0.5000 0.1815 0.5000
Hf: 0.0000 0.8185 0.0000
F: 0.5000 0.1691 0.2877
F: 0.5000 0.1691 0.7123
F: 0.0000 0.8309 0.2123
F: 0.0000 0.8309 0.7877
F: 0.2902 0.0026 0.5000
F: 0.7098 0.0026 0.5000
F: 0.2505 0.3206 0.5000
F: 0.7495 0.3206 0.5000
F: 0.7505 0.6794 0.0000
F: 0.2495 0.6794 0.0000
F: 0.2098 0.9974 0.0000
F: 0.7902 0.9974 0.0000

# 8
VASP calculation (PBE) on a geometry-optimized ZrGaHg3 structure.

Values from the calculation:
Energy above the most stable polymorph in this dataset, eV/atom: 0.000
DFT total energy, eV/atom: -1.9310
ΔH_f (0 K), meV/atom: 565.1

Cell: 5.0218 5.0218 5.0218 Å, 90.00 90.00 90.00°
Sites, in units of the cell vectors:
Ga: 0.0000 0.0000 0.0000
Hg: 0.0000 0.5000 0.0000
Hg: 0.0000 0.0000 0.5000
Hg: 0.5000 0.0000 0.0000
Zr: 0.5000 0.5000 0.5000

# 9
VASP calculation (PBE) on a geometry-optimized Er2Tm3Mg6 structure.

Values from the calculation:
DFT total energy, eV/atom: -2.7399
ΔH_f (0 K), meV/atom: 179.0

Cell: 4.1056 4.1056 18.6200 Å, 96.33 96.33 90.00°
Sites, in units of the cell vectors:
Er: 0.4509 0.4509 0.9018
Er: 0.5491 0.5491 0.0982
Tm: 0.0000 0.0000 0.0000
Tm: 0.7762 0.7762 0.5524
Tm: 0.2238 0.2238 0.4476
Mg: 0.1234 0.6234 0.2467
Mg: 0.6234 0.1234 0.2467
Mg: 0.8766 0.3766 0.7533
Mg: 0.3766 0.8766 0.7533
Mg: 0.6853 0.6853 0.3705
Mg: 0.3147 0.3147 0.6295

# 10
VASP calculation (PBE) on a geometry-optimized Y2HCl structure.

Values from the calculation:
Energy above the most stable polymorph in this dataset, eV/atom: 0.000
DFT total energy, eV/atom: -5.3732

Cell: 3.5879 3.5879 7.3062 Å, 75.79 75.79 60.00°
Sites, in units of the cell vectors:
Y: 0.7300 0.7300 0.8100
Y: 0.2700 0.2700 0.1900
H: 0.0000 0.0000 0.0000
Cl: 0.5000 0.5000 0.5000

# 11
VASP calculation (PBE) on a geometry-optimized AcNdTlSi structure.

Values from the calculation:
Formation energy from raw total energies, eV per atom: -0.29
DFT total energy, eV/atom: -4.4604

Cell: 5.5019 5.5019 5.5019 Å, 60.00 60.00 60.00°
Sites, in units of the cell vectors:
Si: 0.7500 0.7500 0.7500
Ac: 0.0000 0.0000 0.0000
Nd: 0.5000 0.5000 0.5000
Tl: 0.2500 0.2500 0.2500

# 12
VASP calculation (PBE) on a geometry-optimized K2PIrO6 structure.

Values from the calculation:
Formation energy from raw total energies, eV per atom: -1.13
DFT total energy, eV/atom: -5.7494

Cell: 5.3369 5.3369 5.3409 Å, 60.01 60.01 89.96°
Sites, in units of the cell vectors:
K: 0.7502 0.2497 0.5000
K: 0.2498 0.7503 0.5000
P: 0.5000 0.5000 0.0000
Ir: 0.0000 0.0000 0.0000
O: 0.2704 0.2704 0.4600
O: 0.7304 0.7303 0.0000
O: 0.2691 0.7310 0.0000
O: 0.7309 0.2690 0.0000
O: 0.2696 0.2697 0.0000
O: 0.7296 0.7296 0.5400

Respective calculated volume values: 33.592, 39.955, 21.529, 30.844, 17.708, 25.590, 26.195, 25.328, 28.184, 19.527, 29.441, 10.764 Å³ per atom.